Entry 1:
Crystalline Tb3Np4N8 at its relaxed geometry, computed with PBE.

a = 6.922 Å, b = 6.911 Å, c = 6.911 Å
α = 90.26°, β = 119.90°, γ = 119.90°
Element x y z (fractional)
1 Tb 0.500 0.500 0.000
2 Tb 0.500 0.000 0.500
3 Tb 0.500 0.500 0.500
4 Np 0.500 0.000 0.000
5 Np 0.000 0.500 0.000
6 Np 0.000 0.000 0.000
7 Np 0.000 0.000 0.500
8 N 0.441 0.212 0.212
9 N 0.000 0.776 0.224
10 N 0.993 0.223 0.223
11 N 0.500 0.754 0.246
12 N 0.500 0.246 0.754
13 N 0.007 0.777 0.777
14 N 0.000 0.224 0.776
15 N 0.559 0.788 0.788

As for the density of states at the Fermi level: 21.53 states/eV/cell. The calculation puts the uncorrected formation energy at -1.191 eV per atom. The total magnetization is 4.3 Bohr magnetons per cell.

Entry 2:
Crystalline LiSnF6 at its relaxed geometry, computed with PBE.

a = 4.491 Å, b = 4.491 Å, c = 5.218 Å
α = 97.13°, β = 97.13°, γ = 109.03°
Element x y z (fractional)
1 Li 0.000 0.000 0.000
2 Sn 0.500 0.500 0.500
3 F 0.752 0.752 0.254
4 F 0.909 0.571 0.741
5 F 0.248 0.248 0.746
6 F 0.429 0.091 0.259
7 F 0.091 0.429 0.259
8 F 0.571 0.909 0.741

As for the density of states at the Fermi level: 2.15 states/eV/cell. The calculation puts the uncorrected formation energy at -2.159 eV per atom. The energy above the most stable polymorph in this dataset is 0.36 eV per formula unit. The total magnetization is 1.0 Bohr magnetons per cell.

Entry 3:
Crystalline La2SiAgPd at its relaxed geometry, computed with PBE.

a = 5.481 Å, b = 4.989 Å, c = 5.481 Å
α = 90.00°, β = 90.00°, γ = 90.00°
Element x y z (fractional)
1 Si 0.500 0.500 0.500
2 Pd 0.000 0.000 0.000
3 Ag 0.000 0.500 0.000
4 La 0.000 0.000 0.500
5 La 0.500 0.000 0.000

As for the density of states at the Fermi level: 3.19 states/eV/cell. The calculation puts the uncorrected formation energy at -0.034 eV per atom. The total magnetization is 0.0 Bohr magnetons per cell.

Entry 4:
Crystalline LiCa2W at its relaxed geometry, computed with PBE.

a = 4.859 Å, b = 2.929 Å, c = 7.332 Å
α = 67.02°, β = 90.00°, γ = 90.00°
Element x y z (fractional)
1 Ca 0.000 0.022 0.982
2 Ca 0.000 0.478 0.518
3 Li 0.500 0.250 0.250
4 W 0.500 0.750 0.750

As for the formation energy: 0.804 eV per atom. As for the density of states at the Fermi level: 5.04 states/eV/cell. The energy above the most stable polymorph in this dataset is 0.60 eV per formula unit. The total magnetization is 0.0 Bohr magnetons per cell.

Entry 5:
Crystalline K3Ho at its relaxed geometry, computed with PBE.

a = 8.561 Å, b = 8.561 Å, c = 7.050 Å
α = 90.00°, β = 90.00°, γ = 120.00°
Element x y z (fractional)
1 K 0.172 0.344 0.250
2 K 0.656 0.828 0.250
3 K 0.172 0.828 0.250
4 K 0.828 0.656 0.750
5 K 0.344 0.172 0.750
6 K 0.828 0.172 0.750
7 Ho 0.333 0.667 0.750
8 Ho 0.667 0.333 0.250

As for the formation energy: 0.575 eV per atom. As for the density of states at the Fermi level: 12.10 states/eV/cell. The energy above the most stable polymorph in this dataset is 0.00 eV per formula unit. The total magnetization is 1.9 Bohr magnetons per cell.

Entry 6:
Crystalline KErO2 at its relaxed geometry, computed with PBE.

a = 3.428 Å, b = 3.428 Å, c = 6.665 Å
α = 75.10°, β = 75.10°, γ = 60.00°
Element x y z (fractional)
1 K 0.497 0.497 0.509
2 Er 0.667 0.667 0.999
3 O 0.062 0.062 0.813
4 O 0.274 0.274 0.179

As for the density of states at the Fermi level: 0.00 states/eV/cell. The calculation puts the uncorrected formation energy at -2.761 eV per atom. The total magnetization is 0.0 Bohr magnetons per cell.

Entry 7:
Crystalline TiCrMo2 at its relaxed geometry, computed with PBE.

a = 3.074 Å, b = 3.074 Å, c = 6.239 Å
α = 90.00°, β = 90.00°, γ = 90.00°
Element x y z (fractional)
1 Cr 0.500 0.500 0.000
2 Mo 0.000 0.000 0.763
3 Mo 0.000 0.000 0.237
4 Ti 0.500 0.500 0.500

As for the formation energy: -0.044 eV per atom. As for the density of states at the Fermi level: 2.92 states/eV/cell. The energy above the most stable polymorph in this dataset is 0.00 eV per formula unit. The total magnetization is 0.0 Bohr magnetons per cell.

Entry 8:
Crystalline MgCoOsW at its relaxed geometry, computed with PBE.

a = 4.326 Å, b = 4.326 Å, c = 4.326 Å
α = 60.00°, β = 60.00°, γ = 60.00°
Element x y z (fractional)
1 Co 0.250 0.250 0.250
2 Mg 0.500 0.500 0.500
3 Os 0.750 0.750 0.750
4 W 0.000 0.000 0.000

As for the formation energy: 0.044 eV per atom. As for the density of states at the Fermi level: 1.54 states/eV/cell. The total magnetization is 1.0 Bohr magnetons per cell.

Entry 9:
Crystalline SiPt2Au at its relaxed geometry, computed with PBE.

a = 2.865 Å, b = 3.956 Å, c = 5.728 Å
α = 90.00°, β = 90.00°, γ = 90.00°
Element x y z (fractional)
1 Au 0.500 0.500 0.767
2 Pt 0.000 0.000 0.012
3 Pt 0.500 0.500 0.286
4 Si 0.000 0.000 0.435

As for the density of states at the Fermi level: 1.89 states/eV/cell. The calculation puts the uncorrected formation energy at -0.085 eV per atom. The total magnetization is 0.0 Bohr magnetons per cell.

Entry 10:
Crystalline PaBiRhO6 at its relaxed geometry, computed with PBE.

a = 5.052 Å, b = 5.052 Å, c = 10.118 Å
α = 90.00°, β = 90.00°, γ = 90.00°
Element x y z (fractional)
1 Pa 0.500 0.500 0.500
2 Pa 0.000 0.000 0.000
3 Bi 0.500 0.500 0.167
4 Bi 0.000 0.000 0.667
5 Rh 0.500 0.500 0.834
6 Rh 0.000 0.000 0.334
7 O 0.192 0.808 0.480
8 O 0.808 0.192 0.480
9 O 0.308 0.308 0.980
10 O 0.692 0.692 0.980
11 O 0.179 0.821 0.174
12 O 0.821 0.179 0.174
13 O 0.321 0.321 0.674
14 O 0.679 0.679 0.674
15 O 0.789 0.211 0.844
16 O 0.211 0.789 0.844
17 O 0.711 0.711 0.344
18 O 0.289 0.289 0.344

As for the density of states at the Fermi level: 14.77 states/eV/cell. The calculation puts the uncorrected formation energy at -1.882 eV per atom. The total magnetization is 0.0 Bohr magnetons per cell.

Copy entry 8 word for word.
Crystalline MgCoOsW at its relaxed geometry, computed with PBE.

a = 4.326 Å, b = 4.326 Å, c = 4.326 Å
α = 60.00°, β = 60.00°, γ = 60.00°
Element x y z (fractional)
1 Co 0.250 0.250 0.250
2 Mg 0.500 0.500 0.500
3 Os 0.750 0.750 0.750
4 W 0.000 0.000 0.000

As for the formation energy: 0.044 eV per atom. As for the density of states at the Fermi level: 1.54 states/eV/cell. The total magnetization is 1.0 Bohr magnetons per cell.